1.
VASP calculation (PBE) on a geometry-optimized AgBi3As structure.

SG: Pm-3m (221)
Formation enthalpy at 0 K (eV per atom): 0.763
Distance to the lowest polymorph of the same formula (eV/atom): 0.0816

Cell lengths 5.470, 5.470, 5.470 Å; angles 90.00, 90.00, 90.00 degrees
Element x y z (fractional)
Ag (0.000, 0.000, 0.000)
Bi (0.000, 0.000, 0.500)
Bi (0.000, 0.500, 0.000)
Bi (0.500, 0.000, 0.000)
As (0.500, 0.500, 0.500)

***

2.
VASP calculation (PBE) on a geometry-optimized Ac6IrRu2Rh structure.

SG: R3 (146)
Formation enthalpy at 0 K (eV per atom): -0.358

Cell lengths 7.980, 7.980, 7.980 Å; angles 55.86, 55.86, 55.86 degrees
Element x y z (fractional)
Ac (0.004, 0.664, 0.332)
Ac (0.166, 0.506, 0.830)
Ac (0.332, 0.004, 0.664)
Ac (0.506, 0.830, 0.166)
Ac (0.664, 0.332, 0.004)
Ac (0.830, 0.166, 0.506)
Ir (0.582, 0.582, 0.582)
Ru (0.421, 0.421, 0.421)
Ru (0.921, 0.921, 0.921)
Rh (0.081, 0.081, 0.081)

***

3.
VASP calculation (PBE) on a geometry-optimized KMoH4 structure.

SG: C2/m (12)
Uncorrected energy (eV per atom): -4.246

Cell lengths 6.327, 6.327, 4.961 Å; angles 97.43, 97.43, 56.44 degrees
Element x y z (fractional)
K (0.191, 0.191, 0.215)
K (0.809, 0.809, 0.785)
Mo (0.478, 0.478, 0.744)
Mo (0.522, 0.522, 0.256)
H (0.236, 0.591, 0.435)
H (0.268, 0.732, 0.000)
H (0.321, 0.321, 0.762)
H (0.409, 0.764, 0.565)
H (0.591, 0.236, 0.435)
H (0.679, 0.679, 0.238)
H (0.732, 0.268, 0.000)
H (0.764, 0.409, 0.565)

***

4.
VASP calculation (PBE) on a geometry-optimized BaSrSe structure.

Formation energy without anion corrections (eV per atom): -1.1636
SG: I4mm (107)
Distance to the lowest polymorph of the same formula (eV/atom): 0.0923

Cell lengths 4.001, 4.001, 14.780 Å; angles 90.00, 90.00, 90.00 degrees
Element x y z (fractional)
Ba (0.000, 0.000, 0.000)
Ba (0.500, 0.500, 0.500)
Sr (0.000, 0.000, 0.747)
Sr (0.500, 0.500, 0.247)
Se (0.000, 0.000, 0.365)
Se (0.500, 0.500, 0.865)